Compound: HgAsSe
Source: the Alexandria database
Functional: GGA-PBE
Structure: optimized geometry

extended XYZ file:
```
3
Lattice="-4.914 2.281 -3.688 -5.191 -3.206 -2.394 3.591 1.077 5.375" Properties=species:S:1:pos:R:3 pbc="T T T"
As -8.966 -0.820 -5.396
Hg -4.215 -0.386 -2.537
Se -7.029 -0.643 -4.230
```

Calculated values
Excess energy over the best structure of this formula in the dataset: 0.128 eV/atom
Uncorrected energy: -8.03 eV per formula unit
Formation energy from raw total energies: 0.14 eV per atom